Record 1
First-principles (PBE) data for an optimized crystal structure of ScCoSi2Ni, as listed in the Alexandria database.

The structure belongs to space group I-4m2 (No. 119); the cell edges are 3.784, 3.784 and 9.668 Å and the angles 90.00°, 90.00° and 90.00°. The distinct sites, in fractional coordinates, are Sc at (0.000, 0.000, 0.000), Co at (0.000, 0.500, 0.250), Si at (0.000, 0.000, 0.379) and Ni at (0.000, 0.500, 0.750).

As for the total DFT energy (no corrections): -67.9 eV per cell. Its formation energy (no corrections) is -0.77 eV per atom. The total magnetic moment is 0.586 μB per formula unit. For the density of states at the Fermi level, the calculation gives 3.5 states/eV/f.u.

***

Record 2
First-principles (PBE) data for an optimized crystal structure of AlRe8, as listed in the Alexandria database.

The structure belongs to space group I4/mmm (No. 139); the cell edges are 8.288, 8.288 and 3.946 Å and the angles 90.00°, 90.00° and 90.00°. The distinct sites, in fractional coordinates, are Al at (0.000, 0.000, 0.000), Re at (0.000, 0.340, 0.000) and Re at (0.172, 0.172, 0.500).

As for the total DFT energy (no corrections): -206.2 eV per cell. The formation energy comes out at 0.0227 eV/atom. The total magnetic moment is 0.000 μB per formula unit. For the density of states at the Fermi level, the calculation gives 7.1 states/eV/f.u.

***

Record 3
First-principles (PBE) data for an optimized crystal structure of NiTeOs2, as listed in the Alexandria database.

The structure belongs to space group P4/mmm (No. 123); the cell edges are 3.135, 3.135 and 6.255 Å and the angles 90.00°, 90.00° and 90.00°. The distinct sites, in fractional coordinates, are Ni at (0.000, 0.000, 0.000), Te at (0.000, 0.000, 0.500) and Os at (0.500, 0.500, 0.212).

As for the total DFT energy (no corrections): -28.7 eV per cell. Its formation energy (no corrections) is 0.68 eV per atom. The total magnetic moment is 0.000 μB per formula unit. For the density of states at the Fermi level, the calculation gives 4.6 states/eV/f.u.

***

Record 4
First-principles (PBE) data for an optimized crystal structure of MgSi2Pt, as listed in the Alexandria database.

The structure belongs to space group F-43m (No. 216); the cell edges are 6.289, 6.289 and 6.289 Å and the angles 90.00°, 90.00° and 90.00°. The distinct sites, in fractional coordinates, are Mg at (0.000, 0.000, 0.000), Si at (0.000, 0.000, 0.500), Si at (0.250, 0.250, 0.750) and Pt at (0.250, 0.250, 0.250).

As for the total DFT energy (no corrections): -75.7 eV per cell. Its formation energy (no corrections) is -0.11 eV per atom. The total magnetic moment is 0.000 μB per formula unit.

***

Record 5
First-principles (PBE) data for an optimized crystal structure of Dy2Mg2Zn, as listed in the Alexandria database.

The structure belongs to space group Cmmm (No. 65); the cell edges are 4.750, 15.643 and 3.312 Å and the angles 90.00°, 90.00° and 90.00°. The distinct sites, in fractional coordinates, are Dy at (0.000, 0.101, 0.000), Mg at (0.000, 0.301, 0.500) and Zn at (0.000, 0.500, 0.500).

As for the total DFT energy (no corrections): -27.7 eV per cell. The formation energy comes out at -0.0390 eV/atom. The total magnetic moment is 0.000 μB per formula unit. For the density of states at the Fermi level, the calculation gives 5.2 states/eV/f.u.

***

Record 6
First-principles (PBE) data for an optimized crystal structure of CdSiPt3, as listed in the Alexandria database.

The structure belongs to space group Pm-3m (No. 221); the cell edges are 4.936, 4.936 and 4.936 Å and the angles 90.00°, 90.00° and 90.00°. The distinct sites, in fractional coordinates, are Cd at (0.000, 0.000, 0.000), Si at (0.500, 0.500, 0.500) and Pt at (0.000, 0.000, 0.500).

As for the total DFT energy (no corrections): -17.2 eV per cell. The value obtained for the energy above the most stable polymorph in this dataset is 1935 meV per atom. Its formation energy (no corrections) is 1.46 eV per atom. The total magnetic moment is 0.000 μB per formula unit. For the density of states at the Fermi level, the calculation gives 5.7 states/eV/f.u.

***

Record 7
First-principles (PBE) data for an optimized crystal structure of Dy2Y6HoTh, as listed in the Alexandria database.

The structure belongs to space group C2/c (No. 15); the cell edges are 9.272, 15.006 and 9.400 Å and the angles 90.00°, 95.75° and 90.00°. The distinct sites, in fractional coordinates, are Dy at (0.249, 0.051, 0.445), Y at (0.057, 0.323, 0.941), Y at (0.096, 0.114, 0.110), Y at (0.211, 0.279, 0.314), Ho at (0.000, 0.088, 0.750) and Th at (0.000, 0.467, 0.250).

As for the total DFT energy (no corrections): -234.0 eV per cell. The formation energy comes out at 0.1495 eV/atom. The total magnetic moment is 0.000 μB per formula unit. For the density of states at the Fermi level, the calculation gives 15.0 states/eV/f.u.

***

Record 8
First-principles (PBE) data for an optimized crystal structure of CuOs2Se, as listed in the Alexandria database.

The structure belongs to space group I-4m2 (No. 119); the cell edges are 4.067, 4.067 and 7.110 Å and the angles 90.00°, 90.00° and 90.00°. The distinct sites, in fractional coordinates, are Cu at (0.000, 0.000, 0.000), Os at (0.000, 0.000, 0.500), Os at (0.000, 0.500, 0.750) and Se at (0.000, 0.500, 0.250).

As for the total DFT energy (no corrections): -53.9 eV per cell. Its formation energy (no corrections) is 0.77 eV per atom. The total magnetic moment is 0.000 μB per formula unit. For the density of states at the Fermi level, the calculation gives 2.7 states/eV/f.u.